This record from Alexandria describes crystalline PmAsRhO at its relaxed geometry. The functional is PBE.

Structure (CIF):
```
data_PmAsRhO
_symmetry_space_group_name_H-M 'P 4/n m m'
_symmetry_Int_Tables_number 129
_cell_length_a 4.0955
_cell_length_b 4.0955
_cell_length_c 8.3475
_cell_angle_alpha 90.00
_cell_angle_beta 90.00
_cell_angle_gamma 90.00
loop_
_symmetry_equiv_pos_as_xyz
'x,y,z'
'-x,-y,-z'
'-y+1/2,x,z'
'y+1/2,-x,-z'
'-x+1/2,-y+1/2,z'
'x+1/2,y+1/2,-z'
'y,-x+1/2,z'
'-y,x+1/2,-z'
'x+1/2,-y,-z'
'-x+1/2,y,z'
'-y,-x,-z'
'y,x,z'
'-x,y+1/2,-z'
'x,-y+1/2,z'
'y+1/2,x+1/2,-z'
'-y+1/2,-x+1/2,z'
loop_
_atom_site_label
_atom_site_type_symbol
_atom_site_fract_x
_atom_site_fract_y
_atom_site_fract_z
Pm1 Pm 0.2500 0.2500 0.1358
As1 As 0.2500 0.2500 0.6648
Rh1 Rh 0.2500 0.7500 0.5000
O1 O 0.2500 0.7500 0.0000
```

Summary:
The value obtained for the uncorrected formation energy is -1.93 eV/atom. Its crystal system is tetragonal.

This record from Alexandria describes crystalline Y2CdNi at its relaxed geometry. The functional is PBE.

Structure (CIF):
```
data_Y2CdNi
_symmetry_space_group_name_H-M 'C 1 2/m 1'
_symmetry_Int_Tables_number 12
_symmetry_space_group_name_Hall '-C 2y'
_cell_length_a 6.7378
_cell_length_b 3.8747
_cell_length_c 8.2506
_cell_angle_alpha 90.00
_cell_angle_beta 105.62
_cell_angle_gamma 90.00
loop_
_atom_site_label
_atom_site_type_symbol
_atom_site_fract_x
_atom_site_fract_y
_atom_site_fract_z
Y1 Y 0.2317 0.0000 0.1950
Cd1 Cd 0.0000 0.0000 0.5000
Ni1 Ni 0.0000 0.5000 0.0000
```

Summary:
The calculation puts the formation energy at -0.219 eV/atom. Its crystal system is monoclinic.

This record from Alexandria describes crystalline Hg3SbPb4 at its relaxed geometry. The functional is PBE.

Structure (CIF):
```
data_Hg3SbPb4
_symmetry_space_group_name_H-M 'P 1'
_symmetry_Int_Tables_number 1
_symmetry_space_group_name_Hall 'P 1'
_cell_length_a 6.9996
_cell_length_b 7.0925
_cell_length_c 9.3448
_cell_angle_alpha 90.00
_cell_angle_beta 90.00
_cell_angle_gamma 90.04
loop_
_atom_site_label
_atom_site_type_symbol
_atom_site_fract_x
_atom_site_fract_y
_atom_site_fract_z
Hg1 Hg 0.0000 0.0000 0.0000
Hg2 Hg 0.0132 0.4935 0.4998
Hg3 Hg 0.2568 0.2433 0.2482
Hg4 Hg 0.4989 0.4941 0.4999
Hg5 Hg 0.5142 0.9993 0.9997
Hg6 Hg 0.7565 0.2498 0.7488
Sb1 Sb 0.2555 0.7541 0.2470
Sb2 Sb 0.7576 0.7384 0.7459
Pb1 Pb 0.0061 0.9952 0.5056
Pb2 Pb 0.0071 0.4993 0.0057
Pb3 Pb 0.2565 0.7426 0.7538
Pb4 Pb 0.2571 0.2411 0.7588
Pb5 Pb 0.5056 0.9945 0.5053
Pb6 Pb 0.5076 0.4999 0.0051
Pb7 Pb 0.7559 0.2531 0.2586
Pb8 Pb 0.7563 0.7516 0.2540
```

Summary:
The value obtained for the uncorrected formation energy is 0.05 eV/atom. Its crystal system is triclinic.

This record from Alexandria describes crystalline KLi2Ta at its relaxed geometry. The functional is PBE.

Structure (CIF):
```
data_KLi2Ta
_symmetry_space_group_name_H-M 'C 1 m 1'
_symmetry_Int_Tables_number 8
_symmetry_space_group_name_Hall 'C -2y'
_cell_length_a 11.0195
_cell_length_b 2.7163
_cell_length_c 6.1502
_cell_angle_alpha 90.00
_cell_angle_beta 92.41
_cell_angle_gamma 90.00
loop_
_atom_site_label
_atom_site_type_symbol
_atom_site_fract_x
_atom_site_fract_y
_atom_site_fract_z
K1 K 0.0000 0.0000 0.0000
Li1 Li 0.9997 0.5000 0.4943
Li2 Li 0.2482 0.0000 0.7875
Ta1 Ta 0.2572 0.5000 0.3560
```

Summary:
The calculation puts the formation energy at 0.812 eV/atom. Its crystal system is monoclinic.

This record from Alexandria describes crystalline CeBeCdH6 at its relaxed geometry. The functional is PBE.

Structure (CIF):
```
data_CeBeCdH6
_symmetry_space_group_name_H-M 'P 1'
_symmetry_Int_Tables_number 1
_symmetry_space_group_name_Hall 'P 1'
_cell_length_a 4.1224
_cell_length_b 4.1276
_cell_length_c 6.0392
_cell_angle_alpha 96.73
_cell_angle_beta 107.61
_cell_angle_gamma 111.71
loop_
_atom_site_label
_atom_site_type_symbol
_atom_site_fract_x
_atom_site_fract_y
_atom_site_fract_z
Ce1 Ce 0.0000 0.0000 0.0000
Be1 Be 0.5475 0.7544 0.3119
Cd1 Cd 0.3871 0.1967 0.5719
H1 H 0.1408 0.5890 0.2316
H2 H 0.3907 0.9156 0.8298
H3 H 0.5910 0.5290 0.1246
H4 H 0.6335 0.0811 0.2294
H5 H 0.7475 0.8216 0.5739
H6 H 0.9249 0.4438 0.8286
```

Summary:
The electronic total energy is -3.51 eV/atom. Its crystal system is triclinic.

This record from Alexandria describes crystalline TlIn4Bi2Pb at its relaxed geometry. The functional is PBE.

Structure (CIF):
```
data_TlIn4Bi2Pb
_symmetry_space_group_name_H-M 'I m m a'
_symmetry_Int_Tables_number 74
_symmetry_space_group_name_Hall '-I 2b 2'
_cell_length_a 8.4791
_cell_length_b 9.4940
_cell_length_c 12.7614
_cell_angle_alpha 90.00
_cell_angle_beta 90.00
_cell_angle_gamma 90.00
loop_
_atom_site_label
_atom_site_type_symbol
_atom_site_fract_x
_atom_site_fract_y
_atom_site_fract_z
Tl1 Tl 0.0000 0.0000 0.0000
In1 In 0.0000 0.0046 0.2553
In2 In 0.2380 0.2500 0.4981
Bi1 Bi 0.0000 0.0000 0.5000
Bi2 Bi 0.2500 0.2500 0.2500
Pb1 Pb 0.2500 0.2500 0.7500
```

Summary:
The calculation puts the formation energy at 0.093 eV/atom. Its crystal system is orthorhombic.

This record from Alexandria describes crystalline DySc4In5 at its relaxed geometry. The functional is PBE.

Structure (CIF):
```
data_DySc4In5
_symmetry_space_group_name_H-M 'P 4/m m m'
_symmetry_Int_Tables_number 123
_symmetry_space_group_name_Hall '-P 4 2'
_cell_length_a 3.2367
_cell_length_b 3.2367
_cell_length_c 22.1796
_cell_angle_alpha 90.00
_cell_angle_beta 90.00
_cell_angle_gamma 90.00
loop_
_atom_site_label
_atom_site_type_symbol
_atom_site_fract_x
_atom_site_fract_y
_atom_site_fract_z
Dy1 Dy 0.0000 0.0000 0.0000
Sc1 Sc 0.0000 0.0000 0.2057
Sc2 Sc 0.0000 0.0000 0.4019
In1 In 0.5000 0.5000 0.1076
In2 In 0.5000 0.5000 0.3039
In3 In 0.5000 0.5000 0.5000
```

Summary:
The calculation puts the formation energy at -0.427 eV/atom. Its crystal system is tetragonal.

This record from Alexandria describes crystalline VNiSnS2 at its relaxed geometry. The functional is PBE.

Structure (CIF):
```
data_VNiSnS2
_symmetry_space_group_name_H-M 'P 4/m m m'
_symmetry_Int_Tables_number 123
_symmetry_space_group_name_Hall '-P 4 2'
_cell_length_a 4.9875
_cell_length_b 4.9875
_cell_length_c 5.1966
_cell_angle_alpha 90.00
_cell_angle_beta 90.00
_cell_angle_gamma 90.00
loop_
_atom_site_label
_atom_site_type_symbol
_atom_site_fract_x
_atom_site_fract_y
_atom_site_fract_z
V1 V 0.0000 0.0000 0.0000
Ni1 Ni 0.5000 0.5000 0.0000
Sn1 Sn 0.0000 0.0000 0.5000
S1 S 0.0000 0.5000 0.5000
```

Summary:
The value obtained for the uncorrected formation energy is 1.39 eV/atom. Its crystal system is tetragonal.

This record from Alexandria describes crystalline Cs4Ho3ScO8 at its relaxed geometry. The functional is PBE.

Structure (CIF):
```
data_Cs4Ho3ScO8
_symmetry_space_group_name_H-M 'R -3 m'
_symmetry_Int_Tables_number 166
_symmetry_space_group_name_Hall '-R 3 2"'
_cell_length_a 6.9927
_cell_length_b 6.9927
_cell_length_c 20.5531
_cell_angle_alpha 90.00
_cell_angle_beta 90.00
_cell_angle_gamma 120.00
loop_
_atom_site_label
_atom_site_type_symbol
_atom_site_fract_x
_atom_site_fract_y
_atom_site_fract_z
Cs1 Cs 0.0000 0.0000 0.0000
Cs2 Cs 0.0000 0.5000 0.0000
Ho1 Ho 0.0000 0.5000 0.5000
Sc1 Sc 0.0000 0.0000 0.5000
O1 O 0.0000 0.0000 0.2211
O2 O 0.0107 0.5054 0.2204
```

Summary:
The value obtained for the uncorrected formation energy is -2.60 eV/atom. Its crystal system is trigonal.

This record from Alexandria describes crystalline Na3Tl5Cd at its relaxed geometry. The functional is PBE.

Structure (CIF):
```
data_Na3Tl5Cd
_symmetry_space_group_name_H-M 'I 4/m c m'
_symmetry_Int_Tables_number 140
_symmetry_space_group_name_Hall '-I 4 2c'
_cell_length_a 9.0068
_cell_length_b 9.0068
_cell_length_c 13.3010
_cell_angle_alpha 90.00
_cell_angle_beta 90.00
_cell_angle_gamma 90.00
loop_
_atom_site_label
_atom_site_type_symbol
_atom_site_fract_x
_atom_site_fract_y
_atom_site_fract_z
Na1 Na 0.0000 0.0000 0.2500
Na2 Na 0.1123 0.3877 0.0000
Tl1 Tl 0.0000 0.0000 0.0000
Tl2 Tl 0.2006 0.2994 0.3632
Cd1 Cd 0.0000 0.5000 0.2500
```

Summary:
The calculation puts the formation energy at 0.003 eV/atom. Its crystal system is tetragonal.

This record from Alexandria describes crystalline AcZnGa11 at its relaxed geometry. The functional is PBE.

Structure (CIF):
```
data_AcZnGa11
_symmetry_space_group_name_H-M 'C 1 2/m 1'
_symmetry_Int_Tables_number 12
_symmetry_space_group_name_Hall '-C 2y'
_cell_length_a 5.7780
_cell_length_b 13.1737
_cell_length_c 7.2974
_cell_angle_alpha 90.00
_cell_angle_beta 111.51
_cell_angle_gamma 90.00
loop_
_atom_site_label
_atom_site_type_symbol
_atom_site_fract_x
_atom_site_fract_y
_atom_site_fract_z
Ac1 Ac 0.0000 0.0000 0.0000
Zn1 Zn 0.0000 0.5000 0.5000
Ga1 Ga 0.0000 0.0000 0.5000
Ga2 Ga 0.1072 0.3917 0.2220
Ga3 Ga 0.1827 0.1783 0.3615
Ga4 Ga 0.2500 0.2500 0.0000
```

Summary:
The calculation puts the formation energy at -0.139 eV/atom. Its crystal system is monoclinic.

This record from Alexandria describes crystalline Tb5Pm2Er4 at its relaxed geometry. The functional is PBE.

Structure (CIF):
```
data_Tb5Pm2Er4
_symmetry_space_group_name_H-M 'C 1 2/m 1'
_symmetry_Int_Tables_number 12
_symmetry_space_group_name_Hall '-C 2y'
_cell_length_a 16.5212
_cell_length_b 6.6476
_cell_length_c 6.6509
_cell_angle_alpha 90.00
_cell_angle_beta 100.78
_cell_angle_gamma 90.00
loop_
_atom_site_label
_atom_site_type_symbol
_atom_site_fract_x
_atom_site_fract_y
_atom_site_fract_z
Tb1 Tb 0.0000 0.0000 0.0000
Tb2 Tb 0.0884 0.2641 0.4067
Pm1 Pm 0.2013 0.0000 0.7997
Er1 Er 0.0884 0.5000 0.9072
Er2 Er 0.2434 0.0000 0.3079
```

Summary:
The calculation puts the formation energy at 0.163 eV/atom. Its crystal system is monoclinic.